No. 1
# PBE CaGe2Au8, optimized geometry
# Energy relative to the lowest polymorph listed for this composition: 0.137 eV per atom
# DOS at the Fermi energy: 0.473 states/eV per atom
# Energy relative to the elements: -0.01 eV/atom
# Theoretical density: 10.96 g/cm3
data_CaGe2Au8
_chemical_formula_sum 'Ca1 Ge2 Au8'
_space_group_name_H-M_alt 'P 4/m m m'
_space_group_IT_number 123
_space_group_name_Hall '-P 4 2'
_cell_length_a 5.6065
_cell_length_b 5.6065
_cell_length_c 8.4924
_cell_angle_alpha 90.00
_cell_angle_beta 90.00
_cell_angle_gamma 90.00
loop_
_atom_site_label
_atom_site_type_symbol
_atom_site_fract_x
_atom_site_fract_y
_atom_site_fract_z
Ca1 Ca 0.0000 0.0000 0.0000
Ge1 Ge 0.0000 0.5000 0.5000
Au1 Au 0.2523 0.2523 0.2765

---

No. 2
# PBE CaGe2Au, optimized geometry
# DOS at the Fermi energy: 0.937 states/eV per atom
# Energy relative to the elements: 0.07 eV/atom
# Theoretical density: 5.20 g/cm3
data_CaGe2Au
_chemical_formula_sum 'Ca3 Ge6 Au3'
_space_group_name_H-M_alt 'R -3 m'
_space_group_IT_number 166
_space_group_name_Hall '-R 3 2"'
_cell_length_a 4.2540
_cell_length_b 4.2540
_cell_length_c 23.3490
_cell_angle_alpha 90.00
_cell_angle_beta 90.00
_cell_angle_gamma 120.00
loop_
_atom_site_label
_atom_site_type_symbol
_atom_site_fract_x
_atom_site_fract_y
_atom_site_fract_z
Ca1 Ca 0.0000 0.0000 0.0000
Ge1 Ge 0.0000 0.0000 0.1277
Au1 Au 0.0000 0.0000 0.5000

---

| no. | calculated total energy (eV per atom) | V (Å³/cell) |
| --- | --- | --- |
| 1 | -3.41 | 267 |
| 2 | -3.56 | 366 |